1.
The following is a DFT calculation (PBE-GGA) of PrDySc after structural relaxation.

a b c (Å): 5.073 3.451 10.618
angles (deg): 99.34 90.00 90.00
Sites, in units of the cell vectors:
Pr 0.347 0.045 0.512
Pr 0.847 0.945 0.311
Dy 0.347 0.362 0.145
Dy 0.847 0.629 0.679
Sc 0.846 0.784 0.991
Sc 0.348 0.205 0.833

excess energy over the best structure of this formula in the dataset	0.0466	eV/atom
energy relative to the elements	10	kJ/mol of atoms
SG	Cm, No. 8
V	30.566	Å³/atom


2.
The following is a DFT calculation (PBE-GGA) of PrDySc4 after structural relaxation.

a b c (Å): 8.484 5.362 9.865
angles (deg): 90.01 104.97 129.17
Sites, in units of the cell vectors:
Pr 0.377 0.627 0.254
Pr 0.623 0.373 0.746
Dy 0.127 0.877 0.753
Dy 0.873 0.123 0.247
Sc 0.960 0.210 0.917
Sc 0.457 0.707 0.917
Sc 0.287 0.537 0.584
Sc 0.713 0.463 0.416
Sc 0.203 0.954 0.416
Sc 0.543 0.293 0.083
Sc 0.797 0.046 0.584
Sc 0.040 0.790 0.083

excess energy over the best structure of this formula in the dataset	0.0293	eV/atom
energy relative to the elements	7	kJ/mol of atoms
SG	Cmcm, No. 63
V	27.336	Å³/atom


3.
The following is a DFT calculation (PBE-GGA) of Pr3Dy4Sc2 after structural relaxation.

a b c (Å): 6.050 11.090 11.090
angles (deg): 63.00 63.25 63.25
Sites, in units of the cell vectors:
Pr 0.739 0.031 0.309
Pr 0.761 0.691 0.969
Pr 0.261 0.969 0.691
Pr 0.239 0.309 0.031
Pr 0.250 0.618 0.382
Pr 0.750 0.382 0.618
Dy 0.415 0.933 0.185
Dy 0.085 0.815 0.067
Dy 0.585 0.067 0.815
Dy 0.915 0.185 0.933
Dy 0.053 0.168 0.398
Dy 0.447 0.602 0.832
Dy 0.947 0.832 0.602
Dy 0.553 0.398 0.168
Sc 0.407 0.267 0.522
Sc 0.093 0.478 0.733
Sc 0.593 0.733 0.478
Sc 0.907 0.522 0.267

excess energy over the best structure of this formula in the dataset	0.0690	eV/atom
energy relative to the elements	11	kJ/mol of atoms
SG	C2/c, No. 15
V	31.281	Å³/atom


> energy relative to the elements of number 3 (Pr3Dy4Sc2)?

11 kJ/mol of atoms


> energy relative to the elements of number 3 (Pr3Dy4Sc2)?

11 kJ/mol of atoms


> Which value of excess energy over the best structure of this formula in the dataset does entry 2 give?

0.0293 eV/atom